# 1
Density functional theory data (GGA-PBE) for an optimized crystal structure of MoSeSCl2.

Cell: 4.767 4.767 4.711 Å, 90.00 90.00 90.00°
Sites, in units of the cell vectors:
Mo1 0.000 0.000 0.000
S1 0.000 0.000 0.500
Se1 0.500 0.500 0.500
Cl1 0.000 0.500 0.000
Cl2 0.500 0.000 0.000

Values from the calculation:
- Energy relative to the lowest polymorph listed for this composition: 0 meV/atom

=====

# 2
Density functional theory data (GGA-PBE) for an optimized crystal structure of Zr3Pa5N8.

Cell: 6.787 6.787 6.863 Å, 60.36 60.36 60.00°
Sites, in units of the cell vectors:
Zr1 0.500 0.000 0.500
Zr2 0.000 0.000 0.500
Zr3 0.000 0.500 0.500
Pa1 0.500 0.000 0.000
Pa2 0.500 0.500 0.000
Pa3 0.000 0.000 0.000
Pa4 0.000 0.500 0.000
Pa5 0.500 0.500 0.500
N1 0.251 0.251 0.735
N2 0.251 0.764 0.735
N3 0.764 0.251 0.735
N4 0.755 0.755 0.736
N5 0.749 0.749 0.265
N6 0.749 0.236 0.265
N7 0.236 0.749 0.265
N8 0.245 0.245 0.264

Values from the calculation:
- DFT total energy: -10.39 eV per atom